[1]
! Y2TlTc, optimized geometry, DFT PBE; values from VASP
! Fermi-level density of states: 4.33 states/eV per cell
! Total DFT energy (no corrections): -6.5853 eV per atom
&SYSTEM
  ibrav = 0, nat = 4, ntyp = 3
/
ATOMIC_SPECIES
Y 88.91 Y.upf
Tl 204.38 Tl.upf
Tc 98.00 Tc.upf
ATOMIC_POSITIONS angstrom
Y 3.542 0.000 1.625
Y -0.011 0.000 6.045
Tl 1.765 1.775 3.835
Tc 1.773 1.775 0.000
CELL_PARAMETERS angstrom
3.547 0.000 0.000
0.000 3.550 0.000
-0.016 0.000 7.670

---

[2]
! Ce6Ir2RhBr3, optimized geometry, DFT PBE; values from VASP
! Fermi-level density of states: 35.90 states/eV per cell
! Total DFT energy (no corrections): -6.5055 eV per atom
&SYSTEM
  ibrav = 0, nat = 12, ntyp = 4
/
ATOMIC_SPECIES
Ce 140.12 Ce.upf
Ir 192.22 Ir.upf
Rh 102.91 Rh.upf
Br 79.90 Br.upf
ATOMIC_POSITIONS angstrom
Ce -0.004 2.057 6.136
Ce 1.176 0.000 1.520
Ce -0.004 -2.057 6.136
Ce 4.738 2.057 1.520
Ce 3.558 0.000 6.136
Ce 4.738 -2.057 1.520
Ir 3.551 4.100 0.000
Ir 3.551 -4.100 0.000
Rh 3.551 0.000 0.000
Br -1.184 0.000 3.828
Br 2.367 2.048 3.828
Br 2.367 -2.048 3.828
CELL_PARAMETERS angstrom
3.551 -6.150 0.000
3.551 6.150 0.000
-2.367 0.000 7.656

---

[3]
! TaTcPt, optimized geometry, DFT PBE; values from VASP
! Fermi-level density of states: 3.76 states/eV per cell
! Total DFT energy (no corrections): -9.6562 eV per atom
! Offset from the most stable computed form: 15 meV/atom
&SYSTEM
  ibrav = 0, nat = 3, ntyp = 3
/
ATOMIC_SPECIES
Ta 180.95 Ta.upf
Tc 98.00 Tc.upf
Pt 195.08 Pt.upf
ATOMIC_POSITIONS angstrom
Ta 0.000 0.000 0.000
Tc 0.000 0.000 8.292
Pt 0.000 0.000 4.103
CELL_PARAMETERS angstrom
-1.393 1.393 6.186
1.393 -1.393 6.186
1.393 1.393 -6.186

---

[4]
! U3Pa2TiN6, optimized geometry, DFT PBE; values from VASP
! Fermi-level density of states: 16.69 states/eV per cell
! Total DFT energy (no corrections): -10.6506 eV per atom
&SYSTEM
  ibrav = 0, nat = 12, ntyp = 4
/
ATOMIC_SPECIES
U 238.03 U.upf
Pa 231.04 Pa.upf
Ti 47.87 Ti.upf
N 14.01 N.upf
ATOMIC_POSITIONS angstrom
U 0.000 0.000 0.000
U 2.949 1.694 0.000
U 2.949 -1.694 0.000
Pa 1.968 3.408 2.763
Pa 1.968 -3.408 2.763
Ti 1.968 0.000 2.763
N 1.047 1.604 1.441
N 0.119 0.000 4.106
N 1.047 -1.604 1.441
N 2.890 1.604 4.085
N 3.818 0.000 1.420
N 2.890 -1.604 4.085
CELL_PARAMETERS angstrom
2.949 -5.112 0.000
2.949 5.112 0.000
-1.962 0.000 5.526

---

[5]
! YGa2HN, optimized geometry, DFT PBE; values from VASP
! Fermi-level density of states: 3.14 states/eV per cell
! Total DFT energy (no corrections): -4.3789 eV per atom
&SYSTEM
  ibrav = 0, nat = 5, ntyp = 4
/
ATOMIC_SPECIES
Y 88.91 Y.upf
Ga 69.72 Ga.upf
H 1.01 H.upf
N 14.01 N.upf
ATOMIC_POSITIONS angstrom
Y 0.000 0.000 0.000
Ga 0.000 1.970 2.751
Ga 1.970 0.000 2.751
H 1.970 1.970 0.000
N 1.970 1.970 2.751
CELL_PARAMETERS angstrom
3.940 0.000 0.000
0.000 3.940 0.000
0.000 0.000 5.501

---

[6]
! ScAs2PdSe, optimized geometry, DFT PBE; values from VASP
! Fermi-level density of states: 3.51 states/eV per cell
! Total DFT energy (no corrections): -4.8013 eV per atom
! Offset from the most stable computed form: 0 meV/atom
&SYSTEM
  ibrav = 0, nat = 5, ntyp = 4
/
ATOMIC_SPECIES
Sc 44.96 Sc.upf
As 74.92 As.upf
Pd 106.42 Pd.upf
Se 78.96 Se.upf
ATOMIC_POSITIONS angstrom
Sc 0.000 0.000 0.000
As 0.000 2.403 2.519
As 2.403 0.000 2.519
Pd 2.403 2.403 2.519
Se 2.403 2.403 0.000
CELL_PARAMETERS angstrom
4.806 0.000 0.000
0.000 4.806 0.000
0.000 0.000 5.038

---

- What is the Fermi-level density of states in the second record?
  35.90 states/eV per cell